(1)
The following is a GGA-PBE calculation of an optimized crystal structure of K4TlCl6, from Alexandria via LeMat-Bulk.

Calculated values
* final energy: -3.204 eV/atom
* calculated density: 2.81 g cm⁻³
* formation energy (no corrections): -1.582 eV per atom

Geometry as POSCAR:
```
K4TlCl6
1.0
8.7877 0.0000 0.0000
0.0000 8.7877 0.0000
0.0000 0.0000 8.7785
K Tl Cl
8 2 12
Direct
0.1688 0.3312 0.2500 K
0.1688 0.3312 0.7500 K
0.3312 0.8312 0.2500 K
0.3312 0.8312 0.7500 K
0.6688 0.1688 0.2500 K
0.6688 0.1688 0.7500 K
0.8312 0.6688 0.2500 K
0.8312 0.6688 0.7500 K
0.0000 0.0000 0.0000 Tl
0.5000 0.5000 0.5000 Tl
0.0000 0.0000 0.3125 Cl
0.0000 0.0000 0.6875 Cl
0.1047 0.6820 0.0000 Cl
0.1820 0.6047 0.5000 Cl
0.3180 0.1047 0.0000 Cl
0.3953 0.1820 0.5000 Cl
0.5000 0.5000 0.1875 Cl
0.5000 0.5000 0.8125 Cl
0.6047 0.8180 0.5000 Cl
0.6820 0.8953 0.0000 Cl
0.8180 0.3953 0.5000 Cl
0.8953 0.3180 0.0000 Cl
```

(2)
The following is a GGA-PBE calculation of an optimized crystal structure of KTlCl3, from Alexandria via LeMat-Bulk.

Calculated values
* final energy: -2.614 eV/atom
* calculated density: 2.89 g cm⁻³
* offset from the most stable computed form: 2.37 eV/f.u.
* formation energy (no corrections): -0.813 eV per atom

Geometry as POSCAR:
```
KTlCl3
1.0
5.8594 0.0000 0.0000
0.0000 5.8594 0.0000
0.0000 0.0000 5.8594
K Tl Cl
1 1 3
Direct
0.0000 0.0000 0.0000 K
0.5000 0.5000 0.5000 Tl
0.0000 0.0000 0.5000 Cl
0.0000 0.5000 0.0000 Cl
0.5000 0.0000 0.0000 Cl
```

(3)
The following is a GGA-PBE calculation of an optimized crystal structure of KTlCl3, from Alexandria via LeMat-Bulk.

Calculated values
* final energy: -3.088 eV/atom
* calculated density: 3.53 g cm⁻³
* offset from the most stable computed form: 0.00 eV/f.u.
* formation energy (no corrections): -1.287 eV per atom

Geometry as POSCAR:
```
KTlCl3
1.0
6.9585 -3.8993 0.0000
6.9585 3.8993 0.0000
-4.5129 0.0000 12.1233
K Tl Cl
4 4 12
Direct
0.0204 0.6880 0.8738 K
0.3120 0.9796 0.6262 K
0.6880 0.0204 0.3738 K
0.9796 0.3120 0.1262 K
0.0000 0.5000 0.5000 Tl
0.2769 0.7231 0.2500 Tl
0.5000 0.0000 0.0000 Tl
0.7231 0.2769 0.7500 Tl
0.1504 0.2321 0.8884 Cl
0.1529 0.6872 0.4501 Cl
0.2321 0.1504 0.3884 Cl
0.2683 0.4199 0.6802 Cl
0.3128 0.8471 0.0499 Cl
0.4199 0.2683 0.1802 Cl
0.5801 0.7317 0.8198 Cl
0.6872 0.1529 0.9501 Cl
0.7317 0.5801 0.3198 Cl
0.7679 0.8496 0.6116 Cl
0.8471 0.3128 0.5499 Cl
0.8496 0.7679 0.1116 Cl
```

(4)
The following is a GGA-PBE calculation of an optimized crystal structure of K3Tl2Cl8, from Alexandria via LeMat-Bulk.

Calculated values
* final energy: -2.988 eV/atom
* calculated density: 2.94 g cm⁻³
* formation energy (no corrections): -1.235 eV per atom

Geometry as POSCAR:
```
K3Tl2Cl8
1.0
3.8586 2.2278 8.8600
-3.8586 2.2278 8.8600
0.0000 -4.4555 8.8600
K Tl Cl
3 2 8
Direct
0.0000 0.0000 0.0000 K
0.1986 0.1986 0.1986 K
0.8014 0.8014 0.8014 K
0.4081 0.4081 0.4081 Tl
0.5919 0.5919 0.5919 Tl
0.1949 0.7496 0.7496 Cl
0.2504 0.2504 0.8051 Cl
0.2504 0.8051 0.2504 Cl
0.3119 0.3119 0.3119 Cl
0.6881 0.6881 0.6881 Cl
0.7496 0.1949 0.7496 Cl
0.7496 0.7496 0.1949 Cl
0.8051 0.2504 0.2504 Cl
```

(5)
The following is a GGA-PBE calculation of an optimized crystal structure of KTlCl3, from Alexandria via LeMat-Bulk.

Calculated values
* final energy: -3.000 eV/atom
* calculated density: 3.43 g cm⁻³
* offset from the most stable computed form: 0.44 eV/f.u.
* formation energy (no corrections): -1.199 eV per atom

Geometry as POSCAR:
```
KTlCl3
1.0
5.5331 0.0000 0.0000
0.0000 5.5331 0.0000
0.0000 0.0000 5.5331
K Tl Cl
1 1 3
Direct
0.0000 0.0000 0.0000 K
0.5000 0.5000 0.5000 Tl
0.0000 0.5000 0.5000 Cl
0.5000 0.0000 0.5000 Cl
0.5000 0.5000 0.0000 Cl
```

(6)
The following is a GGA-PBE calculation of an optimized crystal structure of K2TlCl3, from Alexandria via LeMat-Bulk.

Calculated values
* final energy: -3.330 eV/atom
* calculated density: 3.25 g cm⁻³
* offset from the most stable computed form: 0.00 eV/f.u.
* formation energy (no corrections): -1.647 eV per atom

Geometry as POSCAR:
```
K2TlCl3
1.0
4.5372 0.0000 0.0000
0.0000 6.4136 0.0000
0.0000 0.0000 13.6391
K Tl Cl
4 2 6
Direct
0.0000 0.0000 0.1654 K
0.0000 0.0000 0.8346 K
0.5000 0.5000 0.3346 K
0.5000 0.5000 0.6654 K
0.0000 0.0000 0.5000 Tl
0.5000 0.5000 0.0000 Tl
0.0000 0.5000 0.1712 Cl
0.0000 0.5000 0.5000 Cl
0.0000 0.5000 0.8288 Cl
0.5000 0.0000 0.0000 Cl
0.5000 0.0000 0.3288 Cl
0.5000 0.0000 0.6712 Cl
```